[1]
Mn2CdIO6 | GGA+U | relaxed

Uncorrected energy in eV/f.u.: -57.4
SG: P1, No. 1

abc: 5.4087 5.6268 5.7591
angles: 118.04 90.04 118.55
Last column: nearest neighbours and their distance in Å.
Atoms (fractional coordinates):
Mn 0.0000 0.0000 0.0000  3 O 2.08-2.11
Mn 0.4785 0.9469 0.4301  4 O 1.95-2.04
Cd 0.2767 0.5142 0.7917  5 O 2.28-2.53
I 0.7912 0.5628 0.3662  5 O 1.96-2.17
O 0.0758 0.4590 0.1721  1 I 2.05, 2 Mn 2.10-2.22
O 0.1836 0.0070 0.6333  1 Mn 2.04, 1 I 2.10
O 0.3888 0.1023 0.2132  2 Mn 2.00-2.11, 1 I 2.17
O 0.6146 0.8047 0.6410  1 Mn 2.03, 1 I 2.12
O 0.6813 0.8065 0.1697  2 Mn 1.95-2.08
O 0.8608 0.4788 0.6464  1 I 1.96


[2]
MnCdIO2 | GGA+U | relaxed

E above lowest polymorph in kJ/mol of formula units: 286
DOS(E_F) in states/eV per cell: 2.264
SG: P4/mmm, No. 123

abc: 3.9881 3.9881 6.1649
angles: 90.00 90.00 90.00
Last column: nearest neighbours and their distance in Å.
Atoms (fractional coordinates):
Mn 0.0000 0.0000 0.0000  4 O 1.99
Cd 0.5000 0.5000 0.5000  4 I 2.82
I 0.0000 0.0000 0.5000  4 Cd 2.82, 2 Mn 3.08
O 0.0000 0.5000 0.0000  2 Mn 1.99
O 0.5000 0.0000 0.0000  2 Mn 1.99


[3]
MnCdI2O | GGA+U | relaxed

E above lowest polymorph in kJ/mol of formula units: 0
DOS(E_F) in states/eV per cell: 3.714
SG: P4/mmm, No. 123

abc: 5.8550 5.8550 3.7848
angles: 90.00 90.00 90.00
Last column: nearest neighbours and their distance in Å.
Atoms (fractional coordinates):
Mn 0.0000 0.0000 0.0000  2 O 1.89
Cd 0.5000 0.5000 0.5000  8 I 3.49, 2 Cd 3.78
I 0.0000 0.5000 0.0000  2 Mn 2.93
I 0.5000 0.0000 0.0000  2 Mn 2.93
O 0.0000 0.0000 0.5000  2 Mn 1.89


[4]
MnCdIO2 | GGA+U | relaxed

E above lowest polymorph in kJ/mol of formula units: 536
DOS(E_F) in states/eV per cell: 2.045
SG: P4/mmm, No. 123

abc: 4.2420 4.2420 6.1613
angles: 90.00 90.00 90.00
Last column: nearest neighbours and their distance in Å.
Atoms (fractional coordinates):
Mn 0.0000 0.0000 0.0000  4 I 3.00
Cd 0.5000 0.5000 0.5000  4 O 2.12
I 0.5000 0.5000 0.0000  4 Mn 3.00, 2 Cd 3.08
O 0.0000 0.5000 0.5000  2 Cd 2.12
O 0.5000 0.0000 0.5000  2 Cd 2.12


[5]
MnCdIO6 | GGA+U | relaxed

DOS(E_F) in states/eV per cell: 2.311
Uncorrected energy in eV/f.u.: -46.4
SG: P-31c, No. 163

abc: 5.1435 5.1435 9.8450
angles: 90.00 90.00 120.00
Last column: nearest neighbours and their distance in Å.
Atoms (fractional coordinates):
Mn 0.3333 0.6667 0.2500  6 O 1.97
Mn 0.6667 0.3333 0.7500  6 O 1.97
Cd 0.0000 0.0000 0.0000  6 O 2.37
Cd 0.0000 0.0000 0.5000  6 O 2.37
I 0.3333 0.6667 0.7500  6 O 1.93
I 0.6667 0.3333 0.2500  6 O 1.93
O 0.0056 0.3766 0.6404  1 I 1.93, 1 Mn 1.97
O 0.0056 0.6290 0.8596  1 I 1.93, 1 Mn 1.97
O 0.3710 0.3766 0.8596  1 I 1.93, 1 Mn 1.97
O 0.3710 0.9944 0.6404  1 I 1.93, 1 Mn 1.97
O 0.3766 0.0056 0.1404  1 I 1.93, 1 Mn 1.97
O 0.3766 0.3710 0.3596  1 I 1.93, 1 Mn 1.97
O 0.6234 0.6290 0.6404  1 I 1.93, 1 Mn 1.97
O 0.6234 0.9944 0.8596  1 I 1.93, 1 Mn 1.97
O 0.6290 0.0056 0.3596  1 I 1.93, 1 Mn 1.97
O 0.6290 0.6234 0.1404  1 I 1.93, 1 Mn 1.97
O 0.9944 0.3710 0.1404  1 I 1.93, 1 Mn 1.97
O 0.9944 0.6234 0.3596  1 I 1.93, 1 Mn 1.97